Material: KInTe
Method: DFT, GGA-PBEsol
State: relaxed

## Properties
Calculated density = 4.21 g/cm3
Formation energy from raw total energies = -539 meV/atom
Total magnetic moment = 0.0 μB per formula unit
Distance to the lowest polymorph of the same formula = 0.00 eV/f.u.

Unit cell a=4.4442 b=4.4442 c=6.4956 alpha=90.00 beta=90.00 gamma=120.00
Space group P3m1 (No. 156)
Asymmetric unit:
K  0.0000  0.0000  0.0000 x1
In  0.6667  0.3333  0.4079 x1
Te  0.3333  0.6667  0.6486 x1


Material: TaMoW2
Method: DFT, GGA-PBEsol
State: relaxed

## Properties
Calculated density = 16.76 g/cm3
DOS(E_F) = 2.060 states/eV/f.u.
Total magnetic moment = 0.0 μB per formula unit
Distance to the lowest polymorph of the same formula = 0.02 eV/f.u.

Unit cell a=3.170 b=3.170 c=6.357 alpha=90.00 beta=90.00 gamma=90.00
Space group P4mm (No. 99)
Asymmetric unit:
Ta  0.000  0.000  0.000 x1
Mo  0.500  0.500  0.747 x1
W  0.000  0.000  0.503 x1
W  0.500  0.500  0.256 x1


Material: Na2HPt
Method: DFT, GGA-PBEsol
State: relaxed

## Properties
Calculated density = 5.07 g/cm3
E_tot = -3.35 eV/atom
DOS(E_F) = 0.710 states/eV/f.u.
Total magnetic moment = 0.0 μB per formula unit

Unit cell a=9.604 b=9.604 c=3.435 alpha=90.00 beta=90.00 gamma=90.00
Space group I-42d (No. 122)
Asymmetric unit:
Na  0.070  0.250  0.125 x8
H  0.000  0.000  0.000 x4
Pt  0.000  0.000  0.500 x4


Material: YSnSN2
Method: DFT, GGA-PBEsol
State: relaxed

## Properties
Calculated density = 4.33 g/cm3
Formation energy from raw total energies = 418 meV/atom
DOS(E_F) = 1.952 states/eV/f.u.
Total magnetic moment = 3.0 μB per formula unit

Unit cell a=4.405 b=4.405 c=5.296 alpha=90.00 beta=90.00 gamma=90.00
Space group P4/mmm (No. 123)
Asymmetric unit:
Y  0.000  0.000  0.000 x1
Sn  0.500  0.500  0.500 x1
S  0.000  0.000  0.500 x1
N  0.000  0.500  0.000 x2


Material: TiNiAs
Method: DFT, GGA-PBEsol
State: relaxed

## Properties
Calculated density = 7.51 g/cm3
E_tot = -7.37 eV/atom
DOS(E_F) = 2.405 states/eV/f.u.
Total magnetic moment = 0.0 μB per formula unit

Unit cell a=6.157 b=3.690 c=7.068 alpha=90.00 beta=90.00 gamma=90.00
Space group Pnma (No. 62)
Asymmetric unit:
Ti  0.025  0.250  0.178 x4
Ni  0.148  0.250  0.563 x4
As  0.233  0.750  0.378 x4


Material: La4AlRe
Method: DFT, GGA-PBEsol
State: relaxed

## Properties
Calculated density = 8.04 g/cm3
E_tot = -5.56 eV/atom
DOS(E_F) = 9.600 states/eV/f.u.
Total magnetic moment = 0.0 μB per formula unit

Unit cell a=8.596 b=8.596 c=8.596 alpha=90.00 beta=90.00 gamma=90.00
Space group F-43m (No. 216)
Asymmetric unit:
La  0.124  0.124  0.124 x16
Al  0.000  0.000  0.500 x4
Re  0.250  0.250  0.750 x4


Material: TeSe2IN
Method: DFT, GGA-PBEsol
State: relaxed

## Properties
Calculated density = 6.05 g/cm3
Formation energy from raw total energies = 916 meV/atom
DOS(E_F) = 5.087 states/eV/f.u.
Total magnetic moment = 0.0 μB per formula unit

Unit cell a=5.439 b=5.439 c=3.957 alpha=90.00 beta=90.00 gamma=90.00
Space group P4/mmm (No. 123)
Asymmetric unit:
Te  0.000  0.000  0.000 x1
Se  0.000  0.500  0.000 x2
I  0.500  0.500  0.500 x1
N  0.000  0.000  0.500 x1


Material: SbPBr2
Method: DFT, GGA-PBEsol
State: relaxed

## Properties
Calculated density = 6.01 g/cm3
Formation energy from raw total energies = 324 meV/atom
DOS(E_F) = 2.927 states/eV/f.u.
Total magnetic moment = 0.0 μB per formula unit
Distance to the lowest polymorph of the same formula = 0.15 eV/f.u.

Unit cell a=7.018 b=7.018 c=7.018 alpha=90.00 beta=90.00 gamma=90.00
Space group F-43m (No. 216)
Asymmetric unit:
Sb  0.000  0.000  0.000 x4
P  0.250  0.250  0.750 x4
Br  0.000  0.000  0.500 x4
Br  0.250  0.250  0.250 x4


Material: Zr2MnAu
Method: DFT, GGA-PBEsol
State: relaxed

## Properties
Calculated density = 10.39 g/cm3
DOS(E_F) = 3.377 states/eV/f.u.
Total magnetic moment = 0.0 μB per formula unit
Distance to the lowest polymorph of the same formula = 0.00 eV/f.u.

Unit cell a=3.145 b=3.146 c=7.018 alpha=90.00 beta=90.06 gamma=90.00
Space group P2/m (No. 10)
Asymmetric unit:
Zr  0.000  0.000  0.220 x2
Mn  0.500  0.500  0.000 x1
Au  0.500  0.500  0.500 x1


Material: Al2P3H11O13
Method: DFT, GGA-PBEsol
State: relaxed

## Properties
Calculated density = 2.17 g/cm3
E_tot = -6.14 eV/atom
DOS(E_F) = 0.000 states/eV/f.u.
Total magnetic moment = 0.0 μB per formula unit

Unit cell a=7.387 b=9.825 c=8.216 alpha=90.00 beta=110.15 gamma=90.00
Space group P2_1 (No. 4)
Asymmetric unit:
Al  0.066  0.000  0.024 x2
Al  0.411  0.772  0.616 x2
P  0.210  0.721  0.900 x2
P  0.267  0.278  0.013 x2
P  0.460  0.965  0.337 x2
H  0.040  0.730  0.451 x2
H  0.097  0.158  0.365 x2
H  0.139  0.820  0.333 x2
H  0.153  0.605  0.283 x2
H  0.239  0.460  0.232 x2
H  0.253  0.940  0.753 x2
H  0.254  0.031  0.586 x2
H  0.260  0.239  0.510 x2
H  0.337  0.679  0.064 x2
H  0.405  0.311  0.937 x2
H  0.442  0.452  0.782 x2
O  0.025  0.637  0.859 x2
O  0.092  0.369  0.928 x2
O  0.140  0.534  0.192 x2
O  0.148  0.178  0.493 x2
O  0.160  0.743  0.417 x2
O  0.175  0.875  0.907 x2
O  0.226  0.127  0.974 x2
O  0.243  0.952  0.241 x2
O  0.305  0.694  0.766 x2
O  0.306  0.946  0.656 x2
O  0.354  0.313  0.208 x2
O  0.476  0.344  0.538 x2
O  0.484  0.600  0.568 x2


Repeat the eighth record exactly.
Material: SbPBr2
Method: DFT, GGA-PBEsol
State: relaxed

## Properties
Calculated density = 6.01 g/cm3
Formation energy from raw total energies = 324 meV/atom
DOS(E_F) = 2.927 states/eV/f.u.
Total magnetic moment = 0.0 μB per formula unit
Distance to the lowest polymorph of the same formula = 0.15 eV/f.u.

Unit cell a=7.018 b=7.018 c=7.018 alpha=90.00 beta=90.00 gamma=90.00
Space group F-43m (No. 216)
Asymmetric unit:
Sb  0.000  0.000  0.000 x4
P  0.250  0.250  0.750 x4
Br  0.000  0.000  0.500 x4
Br  0.250  0.250  0.250 x4


> Among the records above, which one has the highest calculated density?

TaMoW2